No. 1
DFT (PBE-GGA) results for an optimized crystal structure of La2As4PdAu3.

## Properties
Symmetry: P-4m2, No. 115
Final energy: -50.1 eV/cell
Energy of formation from the pure elements: -0.658 eV per atom

a b c (Å): 4.4826 4.4826 10.7997
angles (deg): 90.00 90.00 90.00
With the nearest neighbours (Å) after each atom.
Fractional coordinates of all 10 atoms:
La 0.5000 0.0000 0.2642  8 As 3.37-3.63, 2 Pd 3.39, 6 Au 3.39-3.46
La 0.0000 0.5000 0.7358  8 As 3.37-3.63, 2 Pd 3.39, 6 Au 3.39-3.46
As 0.5000 0.5000 0.0000  4 Au 2.68
As 0.0000 0.0000 0.0000  4 Au 2.68
As 0.5000 0.0000 0.6301  3 Au 2.52-2.65, 2 Pd 2.65
As 0.0000 0.5000 0.3699  3 Au 2.52-2.65, 2 Pd 2.65
Pd 0.5000 0.5000 0.5000  4 As 2.65
Au 0.0000 0.0000 0.5000  4 As 2.65
Au 0.5000 0.0000 0.8631  5 As 2.52-2.68
Au 0.0000 0.5000 0.1369  5 As 2.52-2.68

***

No. 2
DFT (PBE-GGA) results for an optimized crystal structure of LaPmAsAu.

## Properties
Symmetry: F-43m, No. 216
Final energy: -21.3 eV/cell
Energy of formation from the pure elements: -0.923 eV per atom

a b c (Å): 5.2507 5.2507 5.2507
angles (deg): 60.00 60.00 60.00
With the nearest neighbours (Å) after each atom.
Fractional coordinates of all 4 atoms:
As 0.5000 0.5000 0.5000  4 Pm 3.22, 4 La 3.22
La 0.2500 0.2500 0.2500  4 As 3.22, 4 Au 3.22
Au 0.0000 0.0000 0.0000  4 La 3.22, 4 Pm 3.22
Pm 0.7500 0.7500 0.7500  4 Au 3.22, 4 As 3.22

***

No. 3
DFT (PBE-GGA) results for an optimized crystal structure of LaAs2PtAu.

## Properties
Symmetry: P4/mmm, No. 123
Final energy: -21.6 eV/cell
Energy of formation from the pure elements: 0.388 eV per atom

a b c (Å): 4.8958 5.7509 4.8958
angles (deg): 90.00 90.00 90.00
With the nearest neighbours (Å) after each atom.
Fractional coordinates of all 5 atoms:
As 0.0000 0.0000 0.5000  2 Au 2.45
As 0.5000 0.0000 0.0000  2 Au 2.45
Au 0.0000 0.0000 0.0000  4 As 2.45
Pt 0.5000 0.5000 0.5000  4 La 3.46, 8 As 3.78
La 0.0000 0.5000 0.0000  2 Au 2.88

***

No. 4
DFT (PBE-GGA) results for an optimized crystal structure of LaPuAsAu.

## Properties
Symmetry: F-43m, No. 216
Final energy: -30.3 eV/cell
Energy of formation from the pure elements: -0.787 eV per atom

a b c (Å): 5.2196 5.2196 5.2196
angles (deg): 60.00 60.00 60.00
With the nearest neighbours (Å) after each atom.
Fractional coordinates of all 4 atoms:
As 0.5000 0.5000 0.5000  4 Pu 3.20, 4 La 3.20
La 0.2500 0.2500 0.2500  4 As 3.20, 4 Au 3.20
Au 0.0000 0.0000 0.0000  4 La 3.20, 4 Pu 3.20
Pu 0.7500 0.7500 0.7500  4 As 3.20, 4 Au 3.20

***

No. 5
DFT (PBE-GGA) results for an optimized crystal structure of LaAs2Rh5Au.

## Properties
Symmetry: P4/mmm, No. 123
Final energy: -57.0 eV/cell
Energy of formation from the pure elements: -0.306 eV per atom

a b c (Å): 4.0420 4.0420 10.9484
angles (deg): 90.00 90.00 90.00
With the nearest neighbours (Å) after each atom.
Fractional coordinates of all 9 atoms:
La 0.0000 0.0000 0.5000  4 Rh 2.86
As 0.5000 0.5000 0.2811  5 Rh 2.39-2.40
As 0.5000 0.5000 0.7189  5 Rh 2.39-2.40
Rh 0.0000 0.5000 0.1652  2 As 2.39
Rh 0.5000 0.0000 0.1652  2 As 2.39
Rh 0.0000 0.5000 0.8348  2 As 2.39
Rh 0.5000 0.0000 0.8348  2 As 2.39
Rh 0.5000 0.5000 0.5000  2 As 2.40
Au 0.0000 0.0000 0.0000  8 Rh 2.71

***

No. 6
DFT (PBE-GGA) results for an optimized crystal structure of La2As4Rh3Au.

## Properties
Symmetry: P-4m2, No. 115
Final energy: -62.7 eV/cell
Energy of formation from the pure elements: -0.887 eV per atom

a b c (Å): 4.4289 4.4289 9.9869
angles (deg): 90.00 90.00 90.00
With the nearest neighbours (Å) after each atom.
Fractional coordinates of all 10 atoms:
La 0.5000 0.0000 0.2440  8 As 3.29-3.33, 7 Rh 3.38-3.56, 2 Au 3.38
La 0.0000 0.5000 0.7560  8 As 3.29-3.33, 7 Rh 3.38-3.56, 2 Au 3.38
As 0.5000 0.5000 0.0000  4 Rh 2.48
As 0.0000 0.0000 0.0000  4 Rh 2.48
As 0.5000 0.0000 0.6427  3 Rh 2.44-2.63, 2 Au 2.63
As 0.0000 0.5000 0.3573  3 Rh 2.44-2.63, 2 Au 2.63
Rh 0.0000 0.0000 0.5000  4 As 2.63
Rh 0.5000 0.0000 0.8874  5 As 2.44-2.48
Rh 0.0000 0.5000 0.1126  5 As 2.44-2.48
Au 0.5000 0.5000 0.5000  4 As 2.63